No. 1
The following is a DFT calculation (PBE-GGA) of a relaxed structure of Rb3IBr4.

Values from the calculation:
- Space-group type: No. 31
- DOS(E_F): 0.00 states/eV/f.u.
- Mass density: 3.0 g cm⁻³

```
16
Lattice="6.957 0.000 0.000 0.000 7.388 0.000 0.000 0.000 14.928" Properties=species:S:1:pos:R:3 pbc="T T T"
Rb 4.552 5.300 0.000
Rb 1.016 5.625 3.597
Rb 4.494 1.763 3.867
Rb 1.073 2.089 7.464
Rb 4.494 1.763 11.061
Rb 1.016 5.625 11.331
I 5.166 1.837 0.000
I 1.687 5.551 7.464
Br 0.936 6.004 0.000
Br 2.780 0.608 0.000
Br 1.018 1.945 4.085
Br 4.496 5.443 3.379
Br 6.259 6.781 7.464
Br 4.414 1.384 7.464
Br 4.496 5.443 11.549
Br 1.018 1.945 10.843
```

---

No. 2
The following is a DFT calculation (PBE-GGA) of a relaxed structure of Rb2IBr2.

Values from the calculation:
- Space-group type: No. 127
- DOS(E_F): 1.40 states/eV/f.u.
- Excess energy over the best structure of this formula in the dataset: 0.055 eV per atom
- Mass density: 3.9 g cm⁻³

```
10
Lattice="-6.806 -6.916 -3.362 7.552 -5.169 -4.658 0.518 -1.994 3.053" Properties=species:S:1:pos:R:3 pbc="T T T"
I 0.000 0.000 0.000
I 0.373 -6.042 -4.010
Br 4.138 -5.239 -1.902
Br 2.439 -9.863 -4.634
Br -2.873 -8.840 -3.064
Br -1.175 -4.215 -0.332
Rb 4.032 -6.724 -5.076
Rb -0.769 -9.225 -5.894
Rb -3.286 -5.361 -2.943
Rb 1.515 -2.860 -2.125
```

---

No. 3
The following is a DFT calculation (PBE-GGA) of a relaxed structure of Rb2IBr3.

Values from the calculation:
- Space-group type: No. 15
- Mass density: 3.3 g cm⁻³

```
12
Lattice="5.932 1.726 -2.265 -2.381 5.870 -1.780 5.270 -1.209 13.069" Properties=species:S:1:pos:R:3 pbc="T T T"
Rb 6.128 1.582 3.038
Rb 2.693 4.805 5.986
Rb 7.587 3.944 8.666
Rb 1.233 2.443 0.359
I 4.574 3.924 0.680
I 4.246 2.463 8.344
Br 5.228 4.955 3.193
Br 3.592 1.432 5.832
Br 3.919 2.892 -1.831
Br 8.409 0.405 8.094
Br 4.901 3.495 10.856
Br 0.411 5.982 0.930
```

---

No. 4
The following is a DFT calculation (PBE-GGA) of a relaxed structure of RbIBr5.

Values from the calculation:
- Space-group type: No. 15
- DOS(E_F): 0.53 states/eV/f.u.
- Mass density: 3.2 g cm⁻³

```
14
Lattice="-6.296 3.002 -3.644 3.205 -4.077 -5.920 -4.317 -7.869 6.457" Properties=species:S:1:pos:R:3 pbc="T T T"
Rb -5.182 -1.444 -5.132
Rb -2.227 -7.500 2.024
I 0.000 0.000 0.000
I -3.704 -4.472 -1.554
Br -2.481 -2.327 -7.259
Br -5.539 -2.494 -1.688
Br -4.324 -4.808 1.046
Br -1.669 -2.373 -0.821
Br 0.975 -3.027 -4.813
Br -8.384 -5.917 1.705
Br -5.740 -6.571 -2.287
Br -3.085 -4.136 -4.154
Br -1.869 -6.450 -1.420
Br -4.928 -6.617 4.151
```

---

No. 5
The following is a DFT calculation (PBE-GGA) of a relaxed structure of RbI3Br6.

Values from the calculation:
- Space-group type: No. 160
- DOS(E_F): 17.36 states/eV/f.u.
- Mass density: 2.9 g cm⁻³

```
10
Lattice="5.321 0.000 0.000 -1.774 10.865 0.000 -1.774 -5.433 9.410" Properties=species:S:1:pos:R:3 pbc="T T T"
Rb 0.476 0.000 0.000
I 4.473 4.915 0.000
I 4.473 -2.458 4.257
I 0.925 2.975 5.153
Br 0.430 -3.597 6.230
Br 0.430 7.194 0.000
Br 3.205 -1.226 2.124
Br 3.205 2.452 0.000
Br -0.342 4.206 7.286
Br 2.203 1.836 3.180
```

---

No. 6
The following is a DFT calculation (PBE-GGA) of a relaxed structure of RbI2Br2.

Values from the calculation:
- Space-group type: No. 139
- DOS(E_F): 1.61 states/eV/f.u.
- Excess energy over the best structure of this formula in the dataset: 0.113 eV per atom
- Mass density: 3.7 g cm⁻³

```
5
Lattice="-2.186 1.033 3.908 -1.496 -4.334 0.308 6.852 -4.256 7.659" Properties=species:S:1:pos:R:3 pbc="T T T"
I 1.412 -2.437 6.838
I 1.757 -5.120 5.038
Br -0.652 -2.007 2.867
Br 3.822 -5.551 9.008
Rb 0.000 0.000 0.000
```

---

No. 7
The following is a DFT calculation (PBE-GGA) of a relaxed structure of Rb2IBr2.

Values from the calculation:
- Space-group type: No. 139
- DOS(E_F): 1.67 states/eV/f.u.
- Excess energy over the best structure of this formula in the dataset: 0.000 eV per atom
- Mass density: 3.5 g cm⁻³

```
5
Lattice="-0.261 5.191 4.130 -6.445 -1.178 1.073 -2.179 -0.956 6.400" Properties=species:S:1:pos:R:3 pbc="T T T"
I 0.000 0.000 0.000
Br -2.975 1.052 3.826
Br -5.911 2.006 7.777
Rb -2.897 3.121 6.566
Rb -5.989 -0.063 5.037
```

---

No. 8
The following is a DFT calculation (PBE-GGA) of a relaxed structure of Rb2IBr.

Values from the calculation:
- Space-group type: No. 122
- DOS(E_F): 0.00 states/eV/f.u.
- Excess energy over the best structure of this formula in the dataset: 0.082 eV per atom
- Mass density: 2.8 g cm⁻³

```
8
Lattice="-3.490 -5.549 6.330 8.088 -4.111 0.855 3.665 -1.353 7.394" Properties=species:S:1:pos:R:3 pbc="T T T"
I 0.000 0.000 0.000
I 1.237 -5.866 8.659
Br 2.299 -4.830 3.593
Br 7.026 -5.147 5.921
Rb -0.178 -4.199 5.774
Rb 5.459 -3.722 3.313
Rb 4.649 -4.727 8.259
Rb 6.595 -9.378 11.814
```

---

No. 9
The following is a DFT calculation (PBE-GGA) of a relaxed structure of Rb8I4Br3.

Values from the calculation:
- Space-group type: No. 12
- DOS(E_F): 2.88 states/eV/f.u.
- Mass density: 3.1 g cm⁻³

```
15
Lattice="9.017 -0.197 -4.945 -5.824 8.495 -0.266 -0.213 0.166 10.299" Properties=species:S:1:pos:R:3 pbc="T T T"
Rb 2.996 2.133 0.090
Rb -4.408 6.392 2.401
Rb -1.456 2.241 2.540
Rb 0.118 6.269 -0.040
Rb 2.863 2.195 5.128
Rb 4.437 6.223 2.548
Rb -1.629 2.269 7.633
Rb -0.015 6.331 4.999
I 4.509 -0.099 -2.472
I -2.912 4.247 -0.133
I 0.000 0.000 0.000
I -0.106 0.083 5.150
Br 1.596 4.149 -2.605
Br 4.402 -0.015 2.677
Br 1.490 4.232 2.544
```

---

No. 10
The following is a DFT calculation (PBE-GGA) of a relaxed structure of RbI2Br6.

Values from the calculation:
- Space-group type: No. 12
- DOS(E_F): 1.82 states/eV/f.u.
- Excess energy over the best structure of this formula in the dataset: 0.065 eV per atom
- Mass density: 3.4 g cm⁻³

```
9
Lattice="7.854 0.000 2.917 3.677 7.036 2.129 1.555 0.459 7.843" Properties=species:S:1:pos:R:3 pbc="T T T"
Rb 6.543 3.747 6.444
I 9.717 3.693 9.929
I 3.369 3.801 2.960
Br 5.464 2.128 9.349
Br 7.622 5.367 3.540
Br 7.416 1.278 4.094
Br 2.538 1.600 5.197
Br 5.669 6.217 8.795
Br 10.548 5.894 7.692
```

---

No. 11
The following is a DFT calculation (PBE-GGA) of a relaxed structure of Rb2IBr.

Values from the calculation:
- Space-group type: No. 123
- DOS(E_F): 0.00 states/eV/f.u.
- Excess energy over the best structure of this formula in the dataset: 0.056 eV per atom
- Mass density: 3.8 g cm⁻³

```
4
Lattice="-0.759 -3.931 1.670 0.675 -1.785 -3.895 8.443 -0.844 1.850" Properties=species:S:1:pos:R:3 pbc="T T T"
I 4.180 -3.280 -0.187
Br -0.042 -2.858 -1.112
Rb 6.435 -0.643 1.410
Rb 2.008 -0.201 0.440
```

---

No. 12
The following is a DFT calculation (PBE-GGA) of a relaxed structure of Rb4IBr3.

Values from the calculation:
- Space-group type: No. 65
- DOS(E_F): 0.00 states/eV/f.u.
- Excess energy over the best structure of this formula in the dataset: 0.000 eV per atom
- Mass density: 3.3 g cm⁻³

```
8
Lattice="-1.085 0.781 4.802 -8.445 0.978 -2.068 1.549 -8.437 1.722" Properties=species:S:1:pos:R:3 pbc="T T T"
Rb -1.818 -1.967 -0.091
Rb -6.431 -1.041 1.303
Rb -5.078 -5.493 -0.254
Rb -1.551 -5.638 3.154
I -0.543 0.390 2.401
Br 0.775 -4.219 0.861
Br -3.991 -3.339 2.228
Br -4.223 0.489 -1.034
```

---

No. 13
The following is a DFT calculation (PBE-GGA) of a relaxed structure of Rb2IBr.

Values from the calculation:
- Space-group type: No. 160
- DOS(E_F): 0.00 states/eV/f.u.
- Excess energy over the best structure of this formula in the dataset: 0.027 eV per atom
- Mass density: 3.3 g cm⁻³

```
4
Lattice="4.962 0.000 0.000 2.481 4.297 0.000 2.481 1.432 8.894" Properties=species:S:1:pos:R:3 pbc="T T T"
Rb 2.481 1.432 6.558
Rb 2.481 1.432 2.331
I 7.443 4.297 8.875
Br 4.962 2.865 4.471
```

---

No. 14
The following is a DFT calculation (PBE-GGA) of a relaxed structure of Rb2ReI6Br.

Values from the calculation:
- Space-group type: No. 139
- DOS(E_F): 7.94 states/eV/f.u.
- Mass density: 4.4 g cm⁻³

```
10
Lattice="8.441 0.000 0.000 0.000 8.441 0.000 4.220 4.220 6.330" Properties=species:S:1:pos:R:3 pbc="T T T"
I 4.220 4.220 3.596
I 8.441 8.441 2.734
I 1.951 1.951 0.000
I 6.490 6.490 0.000
I 6.490 1.951 0.000
I 1.951 6.490 0.000
Re 0.000 0.000 0.000
Br 4.220 4.220 0.000
Rb 8.441 4.220 3.165
Rb 4.220 8.441 3.165
```

---

No. 15
The following is a DFT calculation (PBE-GGA) of a relaxed structure of Rb2ReI4Br2.

Values from the calculation:
- Space-group type: No. 12
- Mass density: 4.6 g cm⁻³

```
9
Lattice="-3.035 -7.632 -0.717 4.780 -6.226 -1.308 0.932 -5.364 5.804" Properties=species:S:1:pos:R:3 pbc="T T T"
Rb 3.609 -10.428 3.217
Rb -0.932 -8.794 0.562
Re -1.517 -3.816 -0.358
I 2.857 -7.953 0.081
I 1.831 -11.720 -0.017
I -0.180 -11.270 3.698
I 0.846 -7.502 3.797
Br 0.614 -4.426 0.869
Br 2.063 -14.796 2.910
```

---

No. 16
The following is a DFT calculation (PBE-GGA) of a relaxed structure of Rb3ReI2Br6.

Values from the calculation:
- Space-group type: No. 12
- DOS(E_F): 12.39 states/eV/f.u.
- Mass density: 3.9 g cm⁻³

```
12
Lattice="5.954 0.000 0.281 0.000 9.424 0.000 -0.588 -4.712 9.004" Properties=species:S:1:pos:R:3 pbc="T T T"
Rb 0.000 4.712 0.000
Rb 2.683 2.356 4.642
Rb 2.683 -2.356 4.642
Re 2.977 0.000 0.140
I -0.037 4.712 3.589
I 5.403 0.000 5.696
Br 4.277 1.774 1.350
Br 1.089 2.939 7.935
Br 4.041 4.712 7.290
Br 1.325 0.000 1.995
Br 1.089 -2.939 7.935
Br 4.277 7.651 1.350
```

---

No. 17
The following is a DFT calculation (PBE-GGA) of a relaxed structure of Rb2RhIBr6.

Values from the calculation:
- Space-group type: No. 139
- DOS(E_F): 13.08 states/eV/f.u.
- Mass density: 3.9 g cm⁻³

```
10
Lattice="-0.884 -6.323 5.303 -1.180 -5.182 -6.375 4.273 -6.683 -0.761" Properties=species:S:1:pos:R:3 pbc="T T T"
I 0.000 0.000 0.000
Rh -1.032 -5.753 -0.536
Br 1.489 -6.195 -0.643
Br 0.720 -11.994 -1.190
Br -0.591 -3.292 -0.307
Br -1.474 -8.213 -0.765
Br -0.969 -5.997 1.962
Br -1.095 -5.509 -3.034
Rb 1.178 -9.380 2.003
Rb 1.030 -8.809 -3.836
```

---

No. 18
The following is a DFT calculation (PBE-GGA) of a relaxed structure of RbRhIBr2.

Values from the calculation:
- Space-group type: No. 123
- DOS(E_F): 3.10 states/eV/f.u.
- Mass density: 5.2 g cm⁻³

```
5
Lattice="-3.129 3.977 -1.396 -2.655 -3.210 -3.194 -3.428 -1.254 4.110" Properties=species:S:1:pos:R:3 pbc="T T T"
I -1.714 -0.627 2.055
Rh 0.000 0.000 0.000
Br -1.328 -1.605 -1.597
Br -1.565 1.989 -0.698
Rb -4.606 -0.244 -0.240
```

---

No. 19
The following is a DFT calculation (PBE-GGA) of a relaxed structure of Rb6SI3Br2.

Values from the calculation:
- Space-group type: No. 12
- DOS(E_F): 1.01 states/eV/f.u.
- Mass density: 3.2 g cm⁻³

```
12
Lattice="8.955 0.004 0.001 -4.472 7.758 0.001 -1.494 -2.587 8.160" Properties=species:S:1:pos:R:3 pbc="T T T"
Rb 4.480 2.586 6.294
Rb 2.987 5.171 1.862
Rb -1.491 2.589 1.870
Rb 0.001 5.173 6.294
Rb 0.002 0.004 6.302
Rb 2.987 0.002 1.870
S 0.000 0.000 0.000
I -3.007 5.187 4.082
I 5.995 -0.012 4.082
I 1.494 2.588 4.082
Br 0.001 5.175 0.001
Br 4.482 2.587 0.001
```

---

No. 20
The following is a DFT calculation (PBE-GGA) of a relaxed structure of RbSI2Br.

Values from the calculation:
- Space-group type: No. 123
- DOS(E_F): 3.03 states/eV/f.u.
- Mass density: 4.2 g cm⁻³

```
5
Lattice="5.581 0.000 0.000 0.000 5.581 0.000 0.000 0.000 5.747" Properties=species:S:1:pos:R:3 pbc="T T T"
I 0.000 2.791 0.000
I 2.791 0.000 0.000
S 0.000 0.000 0.000
Br 0.000 0.000 2.874
Rb 2.791 2.791 2.874
```

---

No. 21
The following is a DFT calculation (PBE-GGA) of a relaxed structure of Rb6SI2Br2.

Values from the calculation:
- Space-group type: No. 12
- DOS(E_F): 0.00 states/eV/f.u.
- Mass density: 2.8 g cm⁻³

```
11
Lattice="8.673 0.098 0.083 -4.201 7.588 0.083 -1.608 -2.763 8.457" Properties=species:S:1:pos:R:3 pbc="T T T"
Rb 2.347 4.034 6.157
Rb -2.275 0.931 6.018
Rb 0.517 0.889 2.466
Rb 1.934 -1.517 6.018
Rb 5.138 3.991 2.605
Rb 0.930 6.440 2.605
S -0.804 -1.382 4.229
I 6.389 1.427 0.083
I -1.917 6.259 0.083
Br -0.603 3.645 4.312
Br 3.466 1.278 4.312
```

---

No. 22
The following is a DFT calculation (PBE-GGA) of a relaxed structure of Rb8SI4Br3.

Values from the calculation:
- Space-group type: No. 166
- DOS(E_F): 1.01 states/eV/f.u.
- Mass density: 3.2 g cm⁻³

```
16
Lattice="10.317 0.000 0.000 0.000 10.153 -0.125 -5.159 -5.155 7.299" Properties=species:S:1:pos:R:3 pbc="T T T"
Rb -2.578 2.317 7.103
Rb 0.000 4.892 3.464
Rb 0.000 0.067 3.694
Rb 2.578 2.317 7.103
Rb 2.581 2.681 0.071
Rb 5.159 4.931 3.480
Rb 5.159 0.106 3.710
Rb 7.737 2.681 0.071
S 0.000 5.077 -0.062
I 5.159 0.000 0.000
I 2.579 -2.578 3.649
I 0.000 0.000 0.000
I -2.579 -2.578 3.649
Br 5.159 5.077 -0.062
Br 2.579 2.499 3.587
Br -2.579 2.499 3.587
```

---

No. 23
The following is a DFT calculation (PBE-GGA) of a relaxed structure of RbSIBr2.

Values from the calculation:
- Space-group type: No. 123
- DOS(E_F): 4.32 states/eV/f.u.
- Mass density: 4.0 g cm⁻³

```
5
Lattice="5.572 0.000 0.000 0.000 5.572 0.000 0.000 0.000 5.384" Properties=species:S:1:pos:R:3 pbc="T T T"
I 0.000 0.000 2.692
S 0.000 0.000 0.000
Br 0.000 2.786 0.000
Br 2.786 0.000 0.000
Rb 2.786 2.786 2.692
```

---

VASP energy in eV per atom, matching the order above: -2.63; -2.55; -2.57; -2.04; -1.86; -2.02; -2.61; -2.83; -2.73; -1.91; -2.85; -2.99; -2.88; -3.02; -3.42; -3.26; -2.86; -3.32; -2.87; -2.44; -2.92; -2.89; -2.52
Energy relative to the elements, uncorrected in eV per atom, matching the order above: -1.242; -1.188; -1.155; -0.481; -0.296; -0.540; -1.243; -1.538; -1.463; -0.343; -1.564; -1.681; -1.592; -0.488; -0.762; -0.887; -0.768; -0.681; -1.381; -0.468; -1.426; -1.442; -0.522